Density functional theory data (GGA-PBE) for CeHoErAg after structural relaxation.

a b c (Å): 5.2801 5.2801 5.2801
angles (deg): 60.00 60.00 60.00
With the nearest neighbours (Å) after each atom.
Element x y z (fractional)
Ho 0.5000 0.5000 0.5000  4 Ag 3.23, 4 Ce 3.23
Ag 0.2500 0.2500 0.2500  4 Er 3.23, 4 Ho 3.23
Er 0.0000 0.0000 0.0000  4 Ce 3.23, 4 Ag 3.23
Ce 0.7500 0.7500 0.7500  4 Ho 3.23, 4 Er 3.23

## Properties
Total magnetization (μB per formula unit): 3.01
Formation energy from the elements (eV per atom): 0.133
Density of states at the Fermi level (states/eV per cell): 8.45